# Ag2GeCl2

Ag2GeCl2 after structural relaxation (PBE-GGA, Alexandria).

Cell lengths 3.6652, 3.6652, 20.2337 Å; angles 90.00, 90.00, 90.00 degrees
With the nearest neighbours (Å) after each atom.
Space group I4/mmm (No. 139)
Symmetry-distinct sites (fractional):
Ag 0.0000 0.5000 0.2500  4 Ag 2.59
Ge 0.0000 0.0000 0.0000  8 Cl 3.01
Cl 0.0000 0.0000 0.4243  4 Ge 3.01, 1 Cl 3.06

uncorrected formation energy: 4 kJ/mol of atoms
calculated volume: 27.18 Å³ per atom